La2In2Ge: optimized geometry, PBE-GGA.

a b c (Å): 7.920 7.920 4.994
angles (deg): 90.00 90.00 90.00
Element x y z (fractional)
La (0.148, 0.352, 0.000)
La (0.352, 0.852, 0.000)
La (0.648, 0.148, 0.000)
La (0.852, 0.648, 0.000)
In (0.154, 0.654, 0.500)
In (0.346, 0.154, 0.500)
In (0.654, 0.846, 0.500)
In (0.846, 0.346, 0.500)
Ge (0.000, 0.000, 0.000)
Ge (0.500, 0.500, 0.000)

Values from the calculation:
ΔE_f: -1.38 eV/f.u.
SG: P4/mbm
ΔE to the lowest computed polymorph: 0.166 eV per atom

***

LaCoMo: optimized geometry, PBE-GGA.

a b c (Å): 5.321 4.271 5.476
angles (deg): 90.00 104.35 90.00
Element x y z (fractional)
La (0.000, 0.000, 0.000)
La (0.492, 0.500, 0.078)
Co (0.162, 0.500, 0.507)
Co (0.880, 0.000, 0.476)
Mo (0.391, 0.000, 0.559)
Mo (0.719, 0.500, 0.598)

Values from the calculation:
ΔE_f: 0.65 eV/f.u.
SG: Pm
ΔE to the lowest computed polymorph: 0.127 eV per atom

***

CsPH2: optimized geometry, PBE-GGA.

a b c (Å): 5.373 5.373 4.737
angles (deg): 115.55 115.55 67.01
Element x y z (fractional)
Cs (0.000, 0.000, 0.000)
P (0.479, 0.479, 0.477)
H (0.605, 0.605, 0.824)
H (0.612, 0.612, 0.394)

Values from the calculation:
SG: Cm
ΔE to the lowest computed polymorph: 0.001 eV per atom

***

LaYAu: optimized geometry, PBE-GGA.

a b c (Å): 4.913 4.913 7.427
angles (deg): 90.00 90.00 90.00
Element x y z (fractional)
La (0.250, 0.250, 0.118)
La (0.750, 0.750, 0.882)
Y (0.250, 0.750, 0.500)
Y (0.750, 0.250, 0.500)
Au (0.250, 0.250, 0.724)
Au (0.750, 0.750, 0.276)

Values from the calculation:
ΔE_f: -1.73 eV/f.u.
SG: P4/nmm
ΔE to the lowest computed polymorph: 0.000 eV per atom

***

CuSbAs2H: optimized geometry, PBE-GGA.

a b c (Å): 5.403 5.403 4.865
angles (deg): 90.00 90.00 90.00
Element x y z (fractional)
Cu (0.000, 0.000, 0.000)
Sb (0.000, 0.000, 0.500)
As (0.000, 0.500, 0.500)
As (0.500, 0.000, 0.500)
H (0.500, 0.500, 0.000)

Values from the calculation:
energy: -2.8682 eV/atom
SG: P4/mmm

***

Sr2MoCl: optimized geometry, PBE-GGA.

a b c (Å): 5.604 5.604 5.604
angles (deg): 60.00 60.00 60.00
Element x y z (fractional)
Sr (0.000, 0.000, 0.000)
Sr (0.250, 0.250, 0.250)
Mo (0.500, 0.500, 0.500)
Cl (0.750, 0.750, 0.750)

Values from the calculation:
SG: F-43m
raw formation energy: 0.672 eV per atom
ΔE to the lowest computed polymorph: 0.769 eV per atom

***

HoPuMnIr: optimized geometry, PBE-GGA.

a b c (Å): 4.825 4.825 4.825
angles (deg): 60.00 60.00 60.00
Element x y z (fractional)
Ho (0.000, 0.000, 0.000)
Pu (0.500, 0.500, 0.500)
Mn (0.250, 0.250, 0.250)
Ir (0.750, 0.750, 0.750)

Values from the calculation:
ΔE_f: -1.20 eV/f.u.
SG: F-43m

***

Tb5Nb: optimized geometry, PBE-GGA.

a b c (Å): 7.649 7.649 4.892
angles (deg): 90.00 90.00 142.99
Element x y z (fractional)
Tb (0.000, 0.000, 0.000)
Tb (0.155, 0.845, 0.500)
Tb (0.343, 0.657, 0.000)
Tb (0.657, 0.343, 0.000)
Tb (0.845, 0.155, 0.500)
Nb (0.500, 0.500, 0.500)

Values from the calculation:
ΔE_f: 1.10 eV/f.u.
SG: Cmmm

***

ErZrPa2N6: optimized geometry, PBE-GGA.

a b c (Å): 6.001 6.001 6.001
angles (deg): 58.30 58.30 58.30
Element x y z (fractional)
Er (0.000, 0.000, 0.000)
Zr (0.495, 0.495, 0.495)
Pa (0.276, 0.276, 0.276)
Pa (0.778, 0.778, 0.778)
N (0.096, 0.660, 0.398)
N (0.183, 0.589, 0.873)
N (0.398, 0.096, 0.660)
N (0.589, 0.873, 0.183)
N (0.660, 0.398, 0.096)
N (0.873, 0.183, 0.589)

Values from the calculation:
SG: R3
raw formation energy: -1.439 eV per atom

***

Tb2SmSnN: optimized geometry, PBE-GGA.

a b c (Å): 4.827 4.827 4.936
angles (deg): 90.00 90.00 90.00
Element x y z (fractional)
Tb (0.000, 0.500, 0.000)
Tb (0.500, 0.000, 0.000)
Sm (0.000, 0.000, 0.500)
Sn (0.500, 0.500, 0.500)
N (0.000, 0.000, 0.000)

Values from the calculation:
SG: P4/mmm
raw formation energy: -1.037 eV per atom

***

Li2CaZrCl8: optimized geometry, PBE-GGA.

a b c (Å): 6.554 6.829 8.061
angles (deg): 73.32 88.72 77.95
Element x y z (fractional)
Li (0.041, 0.142, 0.317)
Li (0.959, 0.858, 0.683)
Ca (0.500, 0.500, 0.500)
Zr (0.500, 0.500, 0.000)
Cl (0.131, 0.774, 0.445)
Cl (0.161, 0.749, 0.950)
Cl (0.371, 0.284, 0.279)
Cl (0.375, 0.297, 0.826)
Cl (0.625, 0.703, 0.174)
Cl (0.629, 0.716, 0.721)
Cl (0.839, 0.251, 0.050)
Cl (0.869, 0.226, 0.555)

Values from the calculation:
SG: P-1
raw formation energy: -1.927 eV per atom

***

Tl2In15Ga2: optimized geometry, PBE-GGA.

a b c (Å): 8.361 8.361 8.361
angles (deg): 76.07 76.07 76.07
Element x y z (fractional)
Tl (0.199, 0.199, 0.199)
Tl (0.801, 0.801, 0.801)
In (0.000, 0.500, 0.500)
In (0.109, 0.109, 0.656)
In (0.109, 0.656, 0.109)
In (0.209, 0.500, 0.791)
In (0.209, 0.791, 0.500)
In (0.344, 0.891, 0.891)
In (0.500, 0.000, 0.500)
In (0.500, 0.209, 0.791)
In (0.500, 0.500, 0.000)
In (0.500, 0.791, 0.209)
In (0.656, 0.109, 0.109)
In (0.791, 0.209, 0.500)
In (0.791, 0.500, 0.209)
In (0.891, 0.344, 0.891)
In (0.891, 0.891, 0.344)
Ga (0.404, 0.404, 0.404)
Ga (0.596, 0.596, 0.596)

Values from the calculation:
ΔE_f: 1.50 eV/f.u.
SG: R-3m

***

CuPbSO6: optimized geometry, PBE-GGA.

a b c (Å): 4.933 6.878 8.182
angles (deg): 90.00 107.50 90.00
Element x y z (fractional)
Cu (0.000, 0.000, 0.000)
Cu (0.000, 0.500, 0.000)
Pb (0.306, 0.250, 0.638)
Pb (0.694, 0.750, 0.362)
S (0.404, 0.750, 0.684)
S (0.596, 0.250, 0.316)
O (0.115, 0.250, 0.919)
O (0.186, 0.750, 0.084)
O (0.230, 0.750, 0.495)
O (0.292, 0.250, 0.312)
O (0.336, 0.575, 0.770)
O (0.336, 0.925, 0.770)
O (0.664, 0.075, 0.230)
O (0.664, 0.425, 0.230)
O (0.708, 0.750, 0.688)
O (0.770, 0.250, 0.505)
O (0.814, 0.250, 0.916)
O (0.885, 0.750, 0.081)

Values from the calculation:
SG: P2_1/m
raw formation energy: -0.905 eV per atom
ΔE to the lowest computed polymorph: 0.040 eV per atom

***

ErPa2Fe9: optimized geometry, PBE-GGA.

a b c (Å): 8.690 8.690 8.690
angles (deg): 33.35 33.35 33.35
Element x y z (fractional)
Er (0.000, 0.000, 0.000)
Pa (0.143, 0.143, 0.143)
Pa (0.857, 0.857, 0.857)
Fe (0.082, 0.582, 0.582)
Fe (0.333, 0.333, 0.333)
Fe (0.418, 0.418, 0.918)
Fe (0.418, 0.918, 0.418)
Fe (0.500, 0.500, 0.500)
Fe (0.582, 0.082, 0.582)
Fe (0.582, 0.582, 0.082)
Fe (0.667, 0.667, 0.667)
Fe (0.918, 0.418, 0.418)

Values from the calculation:
ΔE_f: -1.62 eV/f.u.
SG: R-3m

***

K3NpSc2S6: optimized geometry, PBE-GGA.

a b c (Å): 6.812 6.812 7.670
angles (deg): 98.52 98.52 120.00
Element x y z (fractional)
K (0.000, 0.000, 0.000)
K (0.334, 0.666, 0.000)
K (0.666, 0.334, 0.000)
Np (0.500, 0.500, 0.500)
Sc (0.167, 0.833, 0.500)
Sc (0.833, 0.167, 0.500)
S (0.088, 0.435, 0.304)
S (0.219, 0.219, 0.696)
S (0.435, 0.088, 0.304)
S (0.565, 0.912, 0.696)
S (0.781, 0.781, 0.304)
S (0.912, 0.565, 0.696)

Values from the calculation:
SG: C2/m
raw formation energy: -1.617 eV per atom

***

KTa2Rh: optimized geometry, PBE-GGA.

a b c (Å): 9.522 9.522 9.522
angles (deg): 148.04 148.04 45.83
Element x y z (fractional)
K (0.375, 0.625, 0.750)
K (0.625, 0.375, 0.250)
Ta (0.000, 0.000, 0.000)
Ta (0.000, 0.000, 0.500)
Ta (0.000, 0.500, 0.000)
Ta (0.500, 0.000, 0.500)
Rh (0.125, 0.875, 0.250)
Rh (0.875, 0.125, 0.750)

Values from the calculation:
ΔE_f: 5.56 eV/f.u.
SG: I4_1/amd
ΔE to the lowest computed polymorph: 1.093 eV per atom

***

Mn2HOs: optimized geometry, PBE-GGA.

a b c (Å): 4.695 2.655 6.371
angles (deg): 90.00 90.10 90.00
Element x y z (fractional)
Mn (0.049, 0.250, 0.160)
Mn (0.386, 0.250, 0.824)
Mn (0.614, 0.750, 0.176)
Mn (0.951, 0.750, 0.840)
H (0.404, 0.250, 0.094)
H (0.596, 0.750, 0.906)
Os (0.251, 0.750, 0.499)
Os (0.749, 0.250, 0.501)

Values from the calculation:
SG: P2_1/m
ΔE to the lowest computed polymorph: 0.117 eV per atom

***

YCd5Hg6: optimized geometry, PBE-GGA.

a b c (Å): 9.050 9.050 4.789
angles (deg): 105.11 105.11 120.50
Element x y z (fractional)
Y (0.000, 0.000, 0.000)
Cd (0.165, 0.835, 0.500)
Cd (0.320, 0.680, 0.000)
Cd (0.500, 0.500, 0.500)
Cd (0.680, 0.320, 0.000)
Cd (0.835, 0.165, 0.500)
Hg (0.094, 0.418, 0.255)
Hg (0.265, 0.265, 0.764)
Hg (0.418, 0.094, 0.255)
Hg (0.582, 0.906, 0.745)
Hg (0.735, 0.735, 0.236)
Hg (0.906, 0.582, 0.745)

Values from the calculation:
ΔE_f: -1.26 eV/f.u.
SG: C2/m

***

Na3TaCr: optimized geometry, PBE-GGA.

a b c (Å): 5.379 5.379 5.379
angles (deg): 90.00 90.00 90.00
Element x y z (fractional)
Na (0.000, 0.000, 0.500)
Na (0.000, 0.500, 0.000)
Na (0.500, 0.000, 0.000)
Ta (0.500, 0.500, 0.500)
Cr (0.000, 0.000, 0.000)

Values from the calculation:
ΔE_f: 8.97 eV/f.u.
SG: Pm-3m
ΔE to the lowest computed polymorph: 0.000 eV per atom

***

Cs2ZnCd3Sn4: optimized geometry, PBE-GGA.

a b c (Å): 4.999 4.999 12.586
angles (deg): 90.00 90.00 90.00
Element x y z (fractional)
Cs (0.000, 0.500, 0.243)
Cs (0.500, 0.000, 0.757)
Zn (0.500, 0.500, 0.000)
Cd (0.000, 0.000, 0.000)
Cd (0.000, 0.500, 0.641)
Cd (0.500, 0.000, 0.359)
Sn (0.000, 0.000, 0.500)
Sn (0.000, 0.500, 0.878)
Sn (0.500, 0.000, 0.122)
Sn (0.500, 0.500, 0.500)

Values from the calculation:
ΔE_f: -1.01 eV/f.u.
SG: P-4m2

***

Cs2KHg16: optimized geometry, PBE-GGA.

a b c (Å): 8.588 8.588 8.588
angles (deg): 80.53 80.53 80.53
Element x y z (fractional)
Cs (0.000, 0.000, 0.000)
Cs (0.320, 0.320, 0.320)
K (0.574, 0.574, 0.574)
Hg (0.020, 0.020, 0.488)
Hg (0.020, 0.488, 0.020)
Hg (0.147, 0.660, 0.660)
Hg (0.305, 0.305, 0.802)
Hg (0.305, 0.802, 0.305)
Hg (0.357, 0.660, 0.957)
Hg (0.357, 0.957, 0.660)
Hg (0.488, 0.020, 0.020)
Hg (0.660, 0.147, 0.660)
Hg (0.660, 0.357, 0.957)
Hg (0.660, 0.660, 0.147)
Hg (0.660, 0.957, 0.357)
Hg (0.774, 0.774, 0.774)
Hg (0.802, 0.305, 0.305)
Hg (0.957, 0.357, 0.660)
Hg (0.957, 0.660, 0.357)

Values from the calculation:
ΔE_f: -3.09 eV/f.u.
SG: R3m

***

Sm5AlBi2: optimized geometry, PBE-GGA.

a b c (Å): 6.564 6.564 14.616
angles (deg): 90.00 90.00 126.57
Element x y z (fractional)
Sm (0.074, 0.926, 0.750)
Sm (0.124, 0.876, 0.052)
Sm (0.124, 0.876, 0.448)
Sm (0.421, 0.579, 0.103)
Sm (0.421, 0.579, 0.397)
Sm (0.579, 0.421, 0.603)
Sm (0.579, 0.421, 0.897)
Sm (0.876, 0.124, 0.552)
Sm (0.876, 0.124, 0.948)
Sm (0.926, 0.074, 0.250)
Al (0.217, 0.783, 0.250)
Al (0.783, 0.217, 0.750)
Bi (0.301, 0.699, 0.621)
Bi (0.301, 0.699, 0.879)
Bi (0.699, 0.301, 0.121)
Bi (0.699, 0.301, 0.379)

Values from the calculation:
ΔE_f: -1.97 eV/f.u.
SG: Cmcm